Here is an optimized crystal structure of LaYErTm from Alexandria via LeMat-Bulk. Energies are from PBE-GGA.

```
LaYErTm
1.0
0.000 4.040 4.040
4.040 0.000 4.040
4.040 4.040 0.000
La Y Er Tm
1 1 1 1
Direct
0.000 0.000 0.000 La
0.500 0.500 0.500 Y
0.250 0.250 0.250 Er
0.750 0.750 0.750 Tm
```

crystal system	cubic
electronic total energy	-20.0	eV/cell
space-group type	F-43m
DOS(E_F)	6.27	states/eV per cell
offset from the most stable computed form	72	meV/atom

=====

Here is an optimized crystal structure of Ac3Nd2Tl4 from Alexandria via LeMat-Bulk. Energies are from PBE-GGA.

```
Ac3Nd2Tl4
1.0
4.904 -2.862 0.000
4.904 2.862 0.000
-0.126 0.000 10.984
Ac Nd Tl
3 2 4
Direct
0.000 0.000 0.000 Ac
0.333 0.333 0.582 Ac
0.667 0.667 0.418 Ac
0.333 0.333 0.214 Nd
0.667 0.667 0.786 Nd
0.001 0.001 0.338 Tl
0.334 0.334 0.896 Tl
0.666 0.666 0.104 Tl
0.999 0.999 0.662 Tl
```

crystal system	monoclinic
electronic total energy	-34.0	eV/cell
space-group type	C2/m
DOS(E_F)	11.67	states/eV per cell
offset from the most stable computed form	0	meV/atom

=====

Here is an optimized crystal structure of FeCoBr from Alexandria via LeMat-Bulk. Energies are from PBE-GGA.

```
FeCoBr
1.0
3.226 0.000 0.000
-1.613 2.794 0.000
0.000 0.000 5.502
Fe Co Br
1 1 1
Direct
0.000 0.000 0.000 Fe
0.333 0.667 0.738 Co
0.667 0.333 0.356 Br
```

crystal system	trigonal
electronic total energy	-16.0	eV/cell
space-group type	P3m1
DOS(E_F)	1.74	states/eV per cell
raw formation energy	1.261	eV/f.u.
offset from the most stable computed form	0	meV/atom

=====

Copy entry 1 word for word.
Here is an optimized crystal structure of LaYErTm from Alexandria via LeMat-Bulk. Energies are from PBE-GGA.

```
LaYErTm
1.0
0.000 4.040 4.040
4.040 0.000 4.040
4.040 4.040 0.000
La Y Er Tm
1 1 1 1
Direct
0.000 0.000 0.000 La
0.500 0.500 0.500 Y
0.250 0.250 0.250 Er
0.750 0.750 0.750 Tm
```

crystal system	cubic
electronic total energy	-20.0	eV/cell
space-group type	F-43m
DOS(E_F)	6.27	states/eV per cell
offset from the most stable computed form	72	meV/atom

=====

What is the formula in the third record?
FeCoBr